# Si2B (GGA-PBE, relaxed)
# Relative energy among the computed polymorphs: 0.0901 eV per atom
# E_form (uncorrected): 274.3 meV per atom
# VASP energy: -5.5668 eV per atom
data_Si2B
_chemical_formula_sum 'Si4 B2'
_space_group_name_H-M_alt 'P 1 m 1'
_space_group_IT_number 6
_cell_length_a 5.3449
_cell_length_b 2.9220
_cell_length_c 6.2600
_cell_angle_alpha 90.00
_cell_angle_beta 112.20
_cell_angle_gamma 90.00
loop_
_space_group_symop_operation_xyz
'x,y,z'
'x,-y,z'
loop_
_atom_site_label
_atom_site_type_symbol
_atom_site_fract_x
_atom_site_fract_y
_atom_site_fract_z
Si1 Si 0.0000 0.0000 0.0000
Si2 Si 0.0174 0.5000 0.3189
Si3 Si 0.4592 0.0000 0.0463
Si4 Si 0.4884 0.5000 0.5496
B1 B 0.6075 0.0000 0.7961
B2 B 0.6337 0.5000 0.2973